Entry 1:
## GaB4Mo (PBE-GGA)

Data for a relaxed GaB4Mo crystal.

density = 6.4 g cm⁻³
raw total energy = -6.69 eV per atom
calculated volume = 9.059 Å³/atom
crystal system = orthorhombic
size of the total moment = 0.00 μB per cell

abc: 4.598 4.598 4.598
angles: 142.10 110.35 82.13
Sites, in units of the cell vectors:
Ga (0.000, 0.000, 0.000)
B (0.083, 0.746, 0.337)
B (0.409, 0.746, 0.663)
B (0.591, 0.254, 0.337)
B (0.917, 0.254, 0.663)
Mo (0.500, 0.500, 0.000)

Entry 2:
## NbGaB (PBE-GGA)

Data for a relaxed NbGaB crystal.

density = 6.0 g cm⁻³
raw total energy = -5.71 eV per atom
calculated volume = 16.107 Å³/atom
crystal system = cubic
size of the total moment = 0.01 μB per cell

abc: 4.088 4.088 4.088
angles: 60.00 60.00 60.00
Sites, in units of the cell vectors:
Nb (0.000, 0.000, 0.000)
Ga (0.250, 0.250, 0.250)
B (0.750, 0.750, 0.750)

Entry 3:
## Nb4GaB3 (PBE-GGA)

Data for a relaxed Nb4GaB3 crystal.

density = 7.1 g cm⁻³
raw total energy = -8.46 eV per atom
calculated volume = 13.871 Å³/atom
crystal system = hexagonal
size of the total moment = 0.01 μB per cell

abc: 3.279 3.279 23.836
angles: 90.00 90.00 120.00
Sites, in units of the cell vectors:
Nb (0.000, 0.000, 0.162)
Nb (0.000, 0.000, 0.338)
Nb (0.000, 0.000, 0.662)
Nb (0.000, 0.000, 0.838)
Nb (0.333, 0.667, 0.054)
Nb (0.333, 0.667, 0.446)
Nb (0.667, 0.333, 0.554)
Nb (0.667, 0.333, 0.946)
Ga (0.333, 0.667, 0.250)
Ga (0.667, 0.333, 0.750)
B (0.000, 0.000, 0.000)
B (0.000, 0.000, 0.500)
B (0.333, 0.667, 0.612)
B (0.333, 0.667, 0.888)
B (0.667, 0.333, 0.112)
B (0.667, 0.333, 0.388)

Entry 4:
## NbGaB (PBE-GGA)

Data for a relaxed NbGaB crystal.

density = 7.0 g cm⁻³
raw total energy = -6.43 eV per atom
calculated volume = 13.623 Å³/atom
crystal system = cubic
size of the total moment = 0.39 μB per cell

abc: 3.866 3.866 3.866
angles: 60.00 60.00 60.00
Sites, in units of the cell vectors:
Nb (0.000, 0.000, 0.000)
Ga (0.500, 0.500, 0.500)
B (0.750, 0.750, 0.750)

Entry 5:
## Nb3GaB2 (PBE-GGA)

Data for a relaxed Nb3GaB2 crystal.

density = 7.1 g cm⁻³
raw total energy = -8.29 eV per atom
calculated volume = 14.369 Å³/atom
crystal system = hexagonal
size of the total moment = 0.00 μB per cell

abc: 3.268 3.268 18.641
angles: 90.00 90.00 120.00
Sites, in units of the cell vectors:
Nb (0.000, 0.000, 0.000)
Nb (0.000, 0.000, 0.500)
Nb (0.333, 0.667, 0.137)
Nb (0.333, 0.667, 0.363)
Nb (0.667, 0.333, 0.637)
Nb (0.667, 0.333, 0.863)
Ga (0.000, 0.000, 0.250)
Ga (0.000, 0.000, 0.750)
B (0.333, 0.667, 0.573)
B (0.333, 0.667, 0.927)
B (0.667, 0.333, 0.073)
B (0.667, 0.333, 0.427)

Entry 6:
## Nb2GaB2 (PBE-GGA)

Data for a relaxed Nb2GaB2 crystal.

density = 7.5 g cm⁻³
raw total energy = -7.80 eV per atom
calculated volume = 12.195 Å³/atom
crystal system = orthorhombic
size of the total moment = 0.01 μB per cell

abc: 6.005 6.005 3.343
angles: 90.00 90.00 149.61
Sites, in units of the cell vectors:
Nb (0.140, 0.860, 0.000)
Nb (0.860, 0.140, 0.000)
Ga (0.500, 0.500, 0.500)
B (0.287, 0.713, 0.500)
B (0.713, 0.287, 0.500)

Entry 7:
## Nb2GaB (PBE-GGA)

Data for a relaxed Nb2GaB crystal.

density = 7.2 g cm⁻³
raw total energy = -7.96 eV per atom
calculated volume = 15.302 Å³/atom
crystal system = hexagonal
size of the total moment = 0.00 μB per cell

abc: 3.213 3.213 13.695
angles: 90.00 90.00 120.00
Sites, in units of the cell vectors:
Nb (0.333, 0.667, 0.092)
Nb (0.333, 0.667, 0.408)
Nb (0.667, 0.333, 0.592)
Nb (0.667, 0.333, 0.908)
Ga (0.333, 0.667, 0.750)
Ga (0.667, 0.333, 0.250)
B (0.000, 0.000, 0.000)
B (0.000, 0.000, 0.500)

Entry 8:
## TaNbGaB (PBE-GGA)

Data for a relaxed TaNbGaB crystal.

density = 9.7 g cm⁻³
raw total energy = -8.41 eV per atom
calculated volume = 15.200 Å³/atom
crystal system = hexagonal
size of the total moment = 0.01 μB per cell

abc: 3.204 3.204 13.679
angles: 90.00 90.00 120.00
Sites, in units of the cell vectors:
Ta (0.000, 0.000, 0.157)
Ta (0.000, 0.000, 0.843)
Nb (0.333, 0.667, 0.341)
Nb (0.333, 0.667, 0.659)
Ga (0.000, 0.000, 0.500)
Ga (0.333, 0.667, 0.000)
B (0.667, 0.333, 0.249)
B (0.667, 0.333, 0.751)

Entry 9:
## TaNb3Ga2B2 (PBE-GGA)

Data for a relaxed TaNb3Ga2B2 crystal.

density = 8.4 g cm⁻³
raw total energy = -8.18 eV per atom
calculated volume = 15.294 Å³/atom
crystal system = trigonal
size of the total moment = 0.00 μB per cell

abc: 3.211 3.211 13.698
angles: 90.00 90.00 120.00
Sites, in units of the cell vectors:
Ta (0.000, 0.000, 0.000)
Nb (0.000, 0.000, 0.685)
Nb (0.333, 0.667, 0.184)
Nb (0.333, 0.667, 0.500)
Ga (0.000, 0.000, 0.342)
Ga (0.333, 0.667, 0.842)
B (0.667, 0.333, 0.092)
B (0.667, 0.333, 0.592)

Entry 10:
## TaNbGaB (PBE-GGA)

Data for a relaxed TaNbGaB crystal.

density = 9.7 g cm⁻³
raw total energy = -8.41 eV per atom
calculated volume = 15.210 Å³/atom
crystal system = trigonal
size of the total moment = 0.00 μB per cell

abc: 3.205 3.205 13.679
angles: 90.00 90.00 120.00
Sites, in units of the cell vectors:
Ta (0.333, 0.667, 0.408)
Ta (0.667, 0.333, 0.592)
Nb (0.333, 0.667, 0.093)
Nb (0.667, 0.333, 0.907)
Ga (0.333, 0.667, 0.750)
Ga (0.667, 0.333, 0.250)
B (0.000, 0.000, 0.000)
B (0.000, 0.000, 0.500)

Entry 11:
## NdGaB (PBE-GGA)

Data for a relaxed NdGaB crystal.

density = 6.2 g cm⁻³
raw total energy = -4.28 eV per atom
calculated volume = 20.108 Å³/atom
crystal system = cubic
size of the total moment = 0.00 μB per cell

abc: 4.402 4.402 4.402
angles: 60.00 60.00 60.00
Sites, in units of the cell vectors:
Nd (0.000, 0.000, 0.000)
Ga (0.750, 0.750, 0.750)
B (0.500, 0.500, 0.500)

Entry 12:
## NdGaB4 (PBE-GGA)

Data for a relaxed NdGaB4 crystal.

density = 6.0 g cm⁻³
raw total energy = -5.80 eV per atom
calculated volume = 11.879 Å³/atom
crystal system = orthorhombic
size of the total moment = 0.00 μB per cell

abc: 5.216 5.216 5.216
angles: 143.96 119.64 72.36
Sites, in units of the cell vectors:
Nd (0.000, 0.000, 0.000)
Ga (0.500, 0.500, 0.000)
B (0.064, 0.740, 0.324)
B (0.416, 0.740, 0.676)
B (0.584, 0.260, 0.324)
B (0.936, 0.260, 0.676)

Entry 13:
## NdGa3B2 (PBE-GGA)

Data for a relaxed NdGa3B2 crystal.

density = 6.9 g cm⁻³
raw total energy = -4.33 eV per atom
calculated volume = 15.120 Å³/atom
crystal system = hexagonal
size of the total moment = 0.01 μB per cell

abc: 5.469 5.469 3.503
angles: 90.00 90.00 120.00
Sites, in units of the cell vectors:
Nd (0.000, 0.000, 0.000)
Ga (0.000, 0.500, 0.500)
Ga (0.500, 0.000, 0.500)
Ga (0.500, 0.500, 0.500)
B (0.333, 0.667, 0.000)
B (0.667, 0.333, 0.000)

Entry 14:
## NdGaB (PBE-GGA)

Data for a relaxed NdGaB crystal.

density = 6.7 g cm⁻³
raw total energy = -4.85 eV per atom
calculated volume = 18.640 Å³/atom
crystal system = cubic
size of the total moment = 0.01 μB per cell

abc: 4.292 4.292 4.292
angles: 60.00 60.00 60.00
Sites, in units of the cell vectors:
Nd (0.000, 0.000, 0.000)
Ga (0.500, 0.500, 0.500)
B (0.750, 0.750, 0.750)

Entry 15:
## NdGaB4 (PBE-GGA)

Data for a relaxed NdGaB4 crystal.

density = 6.4 g cm⁻³
raw total energy = -5.68 eV per atom
calculated volume = 11.053 Å³/atom
crystal system = hexagonal
size of the total moment = 0.00 μB per cell

abc: 3.157 3.157 7.685
angles: 90.00 90.00 120.00
Sites, in units of the cell vectors:
Nd (0.000, 0.000, 0.000)
Ga (0.000, 0.000, 0.500)
B (0.333, 0.667, 0.283)
B (0.333, 0.667, 0.717)
B (0.667, 0.333, 0.283)
B (0.667, 0.333, 0.717)

Entry 16:
## NdGa3B4O12 (PBE-GGA)

Data for a relaxed NdGa3B4O12 crystal.

density = 5.0 g cm⁻³
raw total energy = -7.35 eV per atom
calculated volume = 9.786 Å³/atom
crystal system = trigonal
size of the total moment = 0.00 μB per cell

abc: 6.037 6.037 6.037
angles: 104.16 104.16 104.16
Sites, in units of the cell vectors:
Nd (0.000, 0.000, 0.000)
Ga (0.000, 0.552, 0.448)
Ga (0.448, 0.000, 0.552)
Ga (0.552, 0.448, 0.000)
B (0.056, 0.500, 0.944)
B (0.500, 0.500, 0.500)
B (0.500, 0.944, 0.056)
B (0.944, 0.056, 0.500)
O (0.029, 0.626, 0.785)
O (0.090, 0.910, 0.500)
O (0.215, 0.374, 0.971)
O (0.355, 0.645, 0.500)
O (0.374, 0.971, 0.215)
O (0.500, 0.090, 0.910)
O (0.500, 0.355, 0.645)
O (0.626, 0.785, 0.029)
O (0.645, 0.500, 0.355)
O (0.785, 0.029, 0.626)
O (0.910, 0.500, 0.090)
O (0.971, 0.215, 0.374)

Entry 17:
## Ga2NiB (PBE-GGA)

Data for a relaxed Ga2NiB crystal.

density = 6.8 g cm⁻³
raw total energy = -3.92 eV per atom
calculated volume = 12.764 Å³/atom
crystal system = cubic
size of the total moment = 0.01 μB per cell

abc: 4.164 4.164 4.164
angles: 60.00 60.00 60.00
Sites, in units of the cell vectors:
Ga (0.000, 0.000, 0.000)
Ga (0.250, 0.250, 0.250)
Ni (0.500, 0.500, 0.500)
B (0.750, 0.750, 0.750)

Entry 18:
## GaNiB4 (PBE-GGA)

Data for a relaxed GaNiB4 crystal.

density = 5.5 g cm⁻³
raw total energy = -5.62 eV per atom
calculated volume = 8.661 Å³/atom
crystal system = orthorhombic
size of the total moment = 0.02 μB per cell

abc: 4.475 4.475 4.475
angles: 140.77 108.42 84.80
Sites, in units of the cell vectors:
Ga (0.000, 0.000, 0.000)
Ni (0.500, 0.500, 0.000)
B (0.086, 0.752, 0.334)
B (0.418, 0.752, 0.666)
B (0.582, 0.248, 0.334)
B (0.914, 0.248, 0.666)

Entry 19:
## GaNiB2 (PBE-GGA)

Data for a relaxed GaNiB2 crystal.

density = 6.2 g cm⁻³
raw total energy = -4.40 eV per atom
calculated volume = 9.998 Å³/atom
crystal system = cubic
size of the total moment = 0.00 μB per cell

abc: 3.839 3.839 3.839
angles: 60.00 60.00 60.00
Sites, in units of the cell vectors:
Ga (0.000, 0.000, 0.000)
Ni (0.250, 0.250, 0.250)
B (0.500, 0.500, 0.500)
B (0.750, 0.750, 0.750)

Entry 20:
## GaNiB4 (PBE-GGA)

Data for a relaxed GaNiB4 crystal.

density = 5.4 g cm⁻³
raw total energy = -5.66 eV per atom
calculated volume = 8.783 Å³/atom
crystal system = hexagonal
size of the total moment = 0.00 μB per cell

abc: 3.025 3.025 6.648
angles: 90.00 90.00 120.00
Sites, in units of the cell vectors:
Ga (0.000, 0.000, 0.000)
Ni (0.000, 0.000, 0.500)
B (0.333, 0.667, 0.273)
B (0.333, 0.667, 0.727)
B (0.667, 0.333, 0.273)
B (0.667, 0.333, 0.727)